(1)
Below is Ca2TlHg7 after structural relaxation, with properties calculated at the PBE-GGA level.

Properties
For the total moment, the calculation gives 0.0 μB/f.u. The calculation puts the formation energy at -226 meV per atom.

Cell and atoms, written as POSCAR:
```
Ca2TlHg7
1.0
5.1612 0.0000 0.0000
-2.5806 4.4698 0.0000
0.0000 0.0000 12.0992
Ca Tl Hg
2 1 7
direct
0.6667 0.3333 0.3384 Ca
0.3333 0.6667 0.6712 Ca
0.0000 0.0000 0.8557 Tl
0.3333 0.6667 0.4267 Hg
0.3333 0.6667 0.1802 Hg
0.0000 0.0000 0.2359 Hg
0.0000 0.0000 0.5268 Hg
0.6667 0.3333 0.7505 Hg
0.6667 0.3333 0.0605 Hg
0.3333 0.6667 0.9376 Hg
```

***

(2)
Below is Na3Nd3PdO8 after structural relaxation, with properties calculated at the PBE-GGA level.

Properties
For the total moment, the calculation gives 0.0 μB/f.u. The final energy is -95.4 eV/f.u.

Cell and atoms, written as POSCAR:
```
Na3Nd3PdO8
1.0
-4.3669 4.7232 -2.7008
1.8281 -5.5997 -3.7379
-4.0896 -0.6472 5.4807
Na Nd Pd O
3 3 1 8
direct
0.0000 0.0000 0.0000 Na
0.0000 0.5000 0.0000 Na
0.5000 0.5000 0.0000 Na
0.5000 0.0000 0.5000 Nd
0.5000 0.5000 0.5000 Nd
0.0000 0.5000 0.5000 Nd
0.0000 0.0000 0.5000 Pd
0.2612 0.5223 0.2835 O
0.7388 0.4777 0.7165 O
0.7838 0.5676 0.2960 O
0.2162 0.4324 0.7040 O
0.7838 0.0122 0.2960 O
0.2162 0.9878 0.7040 O
0.2284 0.0122 0.2960 O
0.7716 0.9878 0.7040 O
```

***

(3)
Below is BiSb after structural relaxation, with properties calculated at the PBE-GGA level.

Properties
For the total moment, the calculation gives 0.0 μB/f.u. Its energy above the lowest structure with this stoichiometry is 32.0 kJ per mole of atoms.

Cell and atoms, written as POSCAR:
```
BiSb
1.0
9.9989 0.0000 0.0000
0.0000 9.9989 0.0000
0.0000 0.0000 9.9989
Bi Sb
8 8
direct
0.3529 0.3529 0.3529 Bi
0.3529 0.6471 0.6471 Bi
0.6471 0.3529 0.6471 Bi
0.6471 0.6471 0.3529 Bi
0.8529 0.8529 0.8529 Bi
0.8529 0.1471 0.1471 Bi
0.1471 0.8529 0.1471 Bi
0.1471 0.1471 0.8529 Bi
0.1572 0.1572 0.1572 Sb
0.1572 0.8428 0.8428 Sb
0.8428 0.1572 0.8428 Sb
0.8428 0.8428 0.1572 Sb
0.6572 0.6572 0.6572 Sb
0.6572 0.3428 0.3428 Sb
0.3428 0.6572 0.3428 Sb
0.3428 0.3428 0.6572 Sb
```

***

> Look up the total moment of the first one.

0.0 μB/f.u.